Record 1
# PrEuSiHg

A geometry-optimized PrEuSiHg structure (PBE, Alexandria).

abc: 5.333 5.333 5.333
angles: 60.00 60.00 60.00
Fractional coordinates of all 4 atoms:
Pr 0.000 0.000 0.000
Eu 0.500 0.500 0.500
Si 0.750 0.750 0.750
Hg 0.250 0.250 0.250

Properties
* energy: -5.64 eV/atom
* formation energy (no corrections): -1.79 eV/f.u.
* space group: F-43m, No. 216

Record 2
# CrReOsSe2

A geometry-optimized CrReOsSe2 structure (PBE, Alexandria).

abc: 4.458 4.458 4.547
angles: 90.00 90.00 90.00
Fractional coordinates of all 5 atoms:
Cr 0.000 0.000 0.000
Re 0.000 0.000 0.500
Os 0.500 0.500 0.500
Se 0.000 0.500 0.000
Se 0.500 0.000 0.000

Properties
* energy: -6.40 eV/atom
* formation energy (no corrections): 8.25 eV/f.u.
* space group: P4/mmm, No. 123
* relative energy among the computed polymorphs: 0.000 eV per atom

Record 3
# Li2PuSc2S6

A geometry-optimized Li2PuSc2S6 structure (PBE, Alexandria).

abc: 6.552 6.552 6.502
angles: 99.56 99.56 120.29
Fractional coordinates of all 11 atoms:
Li 0.168 0.832 0.000
Li 0.832 0.168 0.000
Pu 0.000 0.000 0.500
Sc 0.334 0.666 0.500
Sc 0.666 0.334 0.500
S 0.073 0.419 0.738
S 0.258 0.258 0.262
S 0.419 0.073 0.738
S 0.581 0.927 0.262
S 0.742 0.742 0.738
S 0.927 0.581 0.262

Properties
* energy: -6.68 eV/atom
* formation energy (no corrections): -17.90 eV/f.u.
* space group: C2/m, No. 12

Record 4
# Ni2OsBr

A geometry-optimized Ni2OsBr structure (PBE, Alexandria).

abc: 4.619 4.619 2.682
angles: 90.00 90.00 90.00
Fractional coordinates of all 4 atoms:
Ni 0.000 0.500 0.000
Ni 0.500 0.000 0.000
Os 0.000 0.000 0.500
Br 0.500 0.500 0.500

Properties
* energy: -5.17 eV/atom
* formation energy (no corrections): 3.77 eV/f.u.
* space group: P4/mmm, No. 123
* relative energy among the computed polymorphs: 0.457 eV per atom